# CaCoF2, optimized geometry, DFT PBE+U
# calculated density: 3.1 g/cm3
# E_tot: -4.54 eV per atom
# total magnetic moment: 8.4 μB per cell
data_CaCoF2
_symmetry_space_group_name_H-M 'I -4 2 d'
_symmetry_Int_Tables_number 122
_symmetry_space_group_name_Hall 'I -4 2bw'
_cell_length_a 4.863
_cell_length_b 4.863
_cell_length_c 12.460
_cell_angle_alpha 90.00
_cell_angle_beta 90.00
_cell_angle_gamma 90.00
loop_
_atom_site_label
_atom_site_type_symbol
_atom_site_fract_x
_atom_site_fract_y
_atom_site_fract_z
Ca1 Ca 0.000 0.000 0.000
Co1 Co 0.000 0.000 0.500
F1 F 0.214 0.250 0.125